No. 1
The following is a GGA-PBE calculation of a relaxed Pm8Os2Pb crystal, from Alexandria via LeMat-Bulk.

magnetic moment	0.00	Bohr magnetons per cell
crystal system	monoclinic
formation enthalpy at 0 K	-3.32	kcal/mol of atoms
volume	664.0	Å³/cell

a = 9.0021 Å, b = 13.4465 Å, c = 5.6300 Å
α = 90.00°, β = 103.03°, γ = 90.00°
Last column: nearest neighbours and their distance in Å.
Space group C2/m (No. 12)
Unique sites:
Pm (0.0000, 0.2494, 0.0000) (multiplicity 4)  2 Os 2.93
Pm (0.1113, 0.0000, 0.7937) (multiplicity 4)  2 Os 3.06, 1 Pm 3.39, 1 Pb 3.43
Pm (0.1958, 0.3690, 0.5736) (multiplicity 8)  2 Os 2.96-2.98
Os (0.0000, 0.1880, 0.5000) (multiplicity 4)  8 Pm 2.93-3.06
Pb (0.0000, 0.5000, 0.0000) (multiplicity 2)  12 Pm 3.37-3.75

=====

No. 2
The following is a GGA-PBE calculation of a relaxed Li2CeSn2Au2 crystal, from Alexandria via LeMat-Bulk.

magnetic moment	1.94	Bohr magnetons per cell
crystal system	monoclinic
formation enthalpy at 0 K	-13.56	kcal/mol of atoms
volume	294.8	Å³/cell

a = 8.2245 Å, b = 4.7482 Å, c = 8.0364 Å
α = 90.00°, β = 110.07°, γ = 90.00°
Last column: nearest neighbours and their distance in Å.
Space group C2/m (No. 12)
Unique sites:
Li (0.1465, 0.0000, 0.4381) (multiplicity 4)  1 Au 2.64, 3 Li 2.89-2.91
Ce (0.0000, 0.0000, 0.0000) (multiplicity 2)  6 Au 3.18, 2 Li 3.31, 6 Sn 3.49
Sn (0.0708, 0.5000, 0.7143) (multiplicity 4)  3 Au 2.80, 3 Li 2.97-2.98
Au (0.2380, 0.5000, 0.2125) (multiplicity 4)  1 Li 2.64, 3 Sn 2.80